Entry 1:
Crystalline Li4GaAu2 at its relaxed geometry. Source: Alexandria via LeMat-Bulk, functional PBE.

a = 4.4399 Å, b = 4.4399 Å, c = 7.0317 Å
α = 71.96°, β = 71.96°, γ = 59.98°
Element x y z (fractional)
1 Au 0.2709 0.2709 0.1868
2 Au 0.7291 0.7291 0.8132
3 Ga 0.0000 0.0000 0.0000
4 Li 0.4126 0.4127 0.7615
5 Li 0.8638 0.8638 0.4087
6 Li 0.1362 0.1362 0.5913
7 Li 0.5874 0.5873 0.2385

Results
- ΔH_f (0 K) (eV per atom) = -0.4418
- offset from the most stable computed form (meV per atom) = 0
- symmetry = C2/m, No. 12

---

Entry 2:
Crystalline ScCu4Ge at its relaxed geometry. Source: Alexandria via LeMat-Bulk, functional PBE.

a = 4.9529 Å, b = 4.9529 Å, c = 4.9529 Å
α = 60.00°, β = 60.00°, γ = 60.00°
Element x y z (fractional)
1 Cu 0.6251 0.6251 0.1246
2 Sc 0.0000 0.0000 0.0000
3 Ge 0.2500 0.2500 0.2500
4 Cu 0.6251 0.1246 0.6251
5 Cu 0.6251 0.6251 0.6251
6 Cu 0.1246 0.6251 0.6251

Results
- ΔH_f (0 K) (eV per atom) = -0.1541
- symmetry = F-43m, No. 216

---

Entry 3:
Crystalline ReS at its relaxed geometry. Source: Alexandria via LeMat-Bulk, functional PBE.

a = 10.2560 Å, b = 10.2560 Å, c = 3.0193 Å
α = 90.00°, β = 90.00°, γ = 90.00°
Element x y z (fractional)
1 Re 0.3617 0.2371 0.0000
2 Re 0.6383 0.7629 0.0000
3 Re 0.7371 0.1383 0.5000
4 S 0.9144 0.2863 0.5000
5 S 0.0856 0.7137 0.5000
6 Re 0.2629 0.8617 0.5000
7 S 0.2863 0.0856 0.5000
8 S 0.7137 0.9144 0.5000
9 Re 0.8617 0.7371 0.5000
10 Re 0.7629 0.3617 0.0000
11 Re 0.1383 0.2629 0.5000
12 S 0.7863 0.5856 0.0000
13 S 0.4144 0.7863 0.0000
14 S 0.5856 0.2137 0.0000
15 Re 0.2371 0.6383 0.0000
16 S 0.2137 0.4144 0.0000

Results
- uncorrected formation energy (eV per atom) = 0.17
- offset from the most stable computed form (meV per atom) = 243
- symmetry = I4/m, No. 87

---

In states/eV per cell, the density of states at the Fermi level values for the records above are, in order, 2.04 4.49 10.16.